Entry 1:
This record from Alexandria describes a geometry-optimized GeH2Se structure. The functional is PBE.

Structure (extended XYZ):
```
4
Lattice="3.660 0.000 0.000 1.829 3.172 0.000 0.067 0.847 7.780" Properties=species:S:1:pos:R:3 pbc="T T T"
Ge 2.915 2.044 5.842
H 4.741 2.924 0.962
H 4.731 2.474 1.565
Se 1.086 0.986 4.395
```

Fermi-level density of states = 0.00 states/eV/atom
Electronic total energy = -3.81 eV/atom
Magnetization = 0.000 μB/atom

Entry 2:
This record from Alexandria describes a geometry-optimized ThFeP2Ru structure. The functional is PBE.

Structure (extended XYZ):
```
5
Lattice="-1.732 -0.646 3.481 -3.477 -0.421 -1.808 3.488 -4.583 -1.346" Properties=species:S:1:pos:R:3 pbc="T T T"
Th 0.000 0.000 0.000
Fe -0.424 -2.881 1.486
P -2.360 -1.949 0.696
P 0.639 -3.701 -0.368
Ru -1.297 -2.768 -1.159
```

Fermi-level density of states = 0.66 states/eV/atom
ΔE_f = -0.9545 eV/atom
Magnetization = 0.000 μB/atom

Fermi-level density of states of number 2 (ThFeP2Ru)?
0.66 states/eV/atom

Which value of magnetization does entry 1 give?
0.000 μB/atom

What is the magnetization in the first record?
0.000 μB/atom

Fermi-level density of states of number 2 (ThFeP2Ru)?
0.66 states/eV/atom